VASP calculation (PBE) on an optimized crystal structure of ZrFeCl2.

```
ZrFeCl2
1.0
3.068 0.000 0.000
0.000 5.610 0.000
0.000 0.000 4.266
Cl Zr Fe
2 1 1
Direct
0.000 0.000 0.000
0.500 0.500 0.000
0.000 0.500 0.500
0.500 0.000 0.500
```

Symmetry: Pmmm, No. 47
E above lowest polymorph, meV/atom: 564
Total moment, Bohr magnetons per cell: 2.6
Energy relative to the elements, uncorrected, eV per atom: -0.16
Volume, Å³/atom: 18.36